#A
A relaxed Nd4Ag2Sn crystal. Source: Alexandria, functional PBE.

Results
The calculation puts the density of states at the Fermi level at 14.2 states/eV per cell. Its crystal system is triclinic.

Unit cell a=7.4938 b=7.4952 c=8.4684 alpha=106.28 beta=106.28 gamma=102.91
With the nearest neighbours (Å) after each atom.
Space group P1 (No. 1)
Inequivalent atoms, fractional coordinates:
Nd 0.0000 0.0000 0.0000 [1 per cell]  4 Ag 3.09-3.29, 2 Sn 3.25-3.43
Nd 0.0270 0.4699 0.9451 [1 per cell]  3 Ag 3.19-3.28, 2 Sn 3.22-3.31, 1 Nd 3.55
Nd 0.1565 0.3392 0.4447 [1 per cell]  3 Ag 3.18-3.28, 2 Sn 3.22-3.31, 1 Nd 3.55
Nd 0.3881 0.1828 0.7976 [1 per cell]  3 Ag 3.03-3.12, 2 Sn 3.23-3.35
Nd 0.4709 0.8599 0.0778 [1 per cell]  3 Ag 3.07-3.12, 1 Sn 3.35
Nd 0.5462 0.7832 0.5774 [1 per cell]  3 Ag 3.07-3.12, 1 Sn 3.35
Nd 0.6875 0.3132 0.5005 [1 per cell]  4 Ag 3.09-3.30, 2 Sn 3.25-3.43
Nd 0.8702 0.7012 0.2981 [1 per cell]  3 Ag 3.03-3.11, 2 Sn 3.23-3.35
Ag 0.2755 0.9514 0.3504 [1 per cell]  6 Nd 3.03-3.27
Ag 0.6384 0.5884 0.8507 [1 per cell]  6 Nd 3.03-3.27
Ag 0.7542 0.2512 0.1224 [1 per cell]  7 Nd 3.07-3.30, 1 Sn 3.22
Ag 0.9378 0.0669 0.6227 [1 per cell]  7 Nd 3.07-3.29, 1 Sn 3.22
Sn 0.1011 0.7214 0.6906 [1 per cell]  7 Nd 3.22-3.43, 1 Ag 3.22
Sn 0.4086 0.4131 0.1904 [1 per cell]  1 Ag 3.22, 7 Nd 3.22-3.43

#B
A relaxed Nd4Ag2Sn crystal. Source: Alexandria, functional PBE.

Results
The calculation puts the density of states at the Fermi level at 24.8 states/eV per cell. Its crystal system is trigonal.

Unit cell a=5.3090 b=5.3090 c=25.3615 alpha=90.00 beta=90.00 gamma=120.00
With the nearest neighbours (Å) after each atom.
Space group R-3m (No. 166, hexagonal axes)
Inequivalent atoms, fractional coordinates:
Nd 0.0000 0.0000 0.1155 [6 per cell]  4 Ag 3.13-3.25, 3 Sn 3.33
Nd 0.0000 0.0000 0.3692 [6 per cell]  4 Ag 3.18-3.36, 1 Sn 3.32, 3 Nd 3.56
Ag 0.0000 0.0000 0.2437 [6 per cell]  8 Nd 3.13-3.36
Sn 0.0000 0.0000 0.5000 [3 per cell]  8 Nd 3.32-3.33, 6 Ag 3.63

Most stable to least stable: #A, #B

#A
A relaxed Nd3AgSn2 crystal. Source: Alexandria, functional PBE.

Results
The calculation puts the density of states at the Fermi level at 19.9 states/eV per cell. Its crystal system is orthorhombic.

Unit cell a=12.6229 b=4.7142 c=11.8547 alpha=90.00 beta=90.00 gamma=90.00
With the nearest neighbours (Å) after each atom.
Space group Pnma (No. 62)
Inequivalent atoms, fractional coordinates:
Nd 0.0454 0.2500 0.1315 [4 per cell]  1 Ag 3.18, 5 Sn 3.24-3.32
Nd 0.1379 0.7500 0.5707 [4 per cell]  3 Ag 3.21-3.32, 5 Sn 3.25-3.39
Nd 0.2193 0.2500 0.8067 [4 per cell]  2 Ag 3.23, 4 Sn 3.24-3.46, 1 Nd 3.61
Ag 0.1224 0.2500 0.3873 [4 per cell]  3 Sn 2.88-2.89, 3 Nd 3.18-3.21
Sn 0.0072 0.7500 0.3213 [4 per cell]  2 Ag 2.88
Sn 0.1809 0.7500 0.0118 [4 per cell]  1 Ag 2.89

#B
A relaxed Nd3AgSn2 crystal. Source: Alexandria, functional PBE.

Results
The calculation puts the density of states at the Fermi level at 14.8 states/eV per cell. Its crystal system is monoclinic.

Unit cell a=16.7056 b=6.5162 c=6.3884 alpha=90.00 beta=103.87 gamma=90.00
With the nearest neighbours (Å) after each atom.
Space group C2/c (No. 15)
Inequivalent atoms, fractional coordinates:
Nd 0.0000 0.1570 0.2500 [4 per cell]  4 Ag 3.13-3.46, 4 Sn 3.21-3.31
Nd 0.1712 0.3909 0.6027 [8 per cell]  5 Sn 3.20-3.53, 2 Ag 3.22-3.57, 3 Nd 3.50-3.53
Ag 0.0000 0.3624 0.7500 [4 per cell]  6 Nd 3.13-3.46, 2 Sn 3.29
Sn 0.1563 0.1058 0.0449 [8 per cell]  7 Nd 3.20-3.53, 1 Ag 3.29, 2 Sn 3.48

Most stable to least stable: #A, #B